(1)
This record from the Alexandria database describes an optimized crystal structure of BeTlZn2. The functional is PBE-GGA.

The structure in POSCAR format:
```
BeTlZn2
1.0
1.559 0.900 8.436
-1.559 0.900 8.436
0.000 -1.800 8.436
Be Tl Zn
1 1 2
direct
0.000 0.000 0.000 Be
0.500 0.500 0.500 Tl
0.267 0.267 0.267 Zn
0.733 0.733 0.733 Zn
```

Calculated values
Energy relative to the elements   0.364 eV per atom

(2)
This record from the Alexandria database describes an optimized crystal structure of BeTlZn2. The functional is PBE-GGA.

The structure in POSCAR format:
```
BeTlZn2
1.0
4.007 0.000 0.000
0.000 4.007 0.000
0.000 0.000 4.225
Be Tl Zn
1 1 2
direct
0.000 0.000 0.000 Be
0.500 0.500 0.000 Tl
0.000 0.500 0.500 Zn
0.500 0.000 0.500 Zn
```

Calculated values
Energy relative to the elements   0.470 eV per atom

(3)
This record from the Alexandria database describes an optimized crystal structure of BeTlZn2. The functional is PBE-GGA.

The structure in POSCAR format:
```
BeTlZn2
1.0
0.000 3.317 3.317
3.317 0.000 3.317
3.317 3.317 0.000
Be Tl Zn
1 1 2
direct
0.000 0.000 0.000 Be
0.500 0.500 0.500 Tl
0.250 0.250 0.250 Zn
0.750 0.750 0.750 Zn
```

Calculated values
Energy relative to the elements   0.583 eV per atom

(4)
This record from the Alexandria database describes an optimized crystal structure of BeTl2Zn. The functional is PBE-GGA.

The structure in POSCAR format:
```
BeTl2Zn
1.0
-1.881 2.833 4.169
1.881 -2.833 4.169
1.881 2.833 -4.169
Be Tl Zn
1 2 1
direct
0.000 0.000 0.000 Be
0.226 0.726 0.500 Tl
0.774 0.274 0.500 Tl
0.500 0.500 0.000 Zn
```

Calculated values
Energy relative to the elements   0.544 eV per atom

Question: Among the records above, which one has the lowest energy relative to the elements?
Answer: number 1

Question: energy relative to the elements of number 1 (BeTlZn2)?
Answer: 0.364 eV per atom